Entry 1:
The following is a PBE calculation of crystalline CrHg2I at its relaxed geometry, from the Alexandria database.

Geometry as POSCAR:
```
CrHg2I
1.0
7.0836 0.0000 0.0000
0.0000 4.1000 0.0000
-2.3571 0.0000 8.4615
Cr Hg I
2 4 2
Cartesian
0.0000 0.0000 0.0000 Cr
3.5418 2.0500 0.0000 Cr
1.1773 2.0500 1.6939 Hg
2.3559 0.0000 3.8150 Hg
4.7191 0.0000 1.6939 Hg
5.8977 2.0500 3.8150 Hg
0.0071 0.0000 6.9060 I
3.5489 2.0500 6.9060 I
```

Results
- SG: Cm (8)
- Energy relative to the elements, uncorrected: 0.147 eV per atom


Entry 2:
The following is a PBE calculation of crystalline CrReHIr2 at its relaxed geometry, from the Alexandria database.

Geometry as POSCAR:
```
CrReHIr2
1.0
3.8589 0.0000 0.0000
0.0000 3.8589 0.0000
0.0000 0.0000 3.9291
Cr Re H Ir
1 1 1 2
Cartesian
0.0000 0.0000 0.0000 Cr
1.9295 1.9295 0.0000 Re
0.0000 0.0000 1.9646 H
0.0000 1.9295 1.9646 Ir
1.9295 0.0000 1.9646 Ir
```

Results
- SG: P4/mmm (123)
- VASP energy: -8.6515 eV/atom


Entry 3:
The following is a PBE calculation of crystalline Nd4GaPBr2 at its relaxed geometry, from the Alexandria database.

Geometry as POSCAR:
```
Nd4GaPBr2
1.0
7.3184 0.0000 0.0000
0.0000 4.2463 0.0000
-2.4782 0.0000 7.3272
Nd Ga P Br
4 1 1 2
Cartesian
1.1748 0.0000 1.5208 Nd
-0.0671 2.1232 5.7541 Nd
4.9073 2.1232 1.5732 Nd
3.6653 0.0000 5.8065 Nd
3.6592 0.0000 0.0000 Ga
0.0000 2.1232 0.0000 P
-1.2391 0.0000 3.6636 Br
2.4201 2.1232 3.6636 Br
```

Results
- SG: P2/m (10)
- Energy relative to the elements, uncorrected: -1.198 eV per atom


Entry 4:
The following is a PBE calculation of crystalline PmNd2Er7 at its relaxed geometry, from the Alexandria database.

Geometry as POSCAR:
```
PmNd2Er7
1.0
6.1485 0.0000 0.0000
-1.0155 6.0670 0.0000
-3.0631 -2.5879 8.5048
Pm Nd Er
1 2 7
Cartesian
0.0000 0.0000 0.0000 Pm
1.0321 2.2573 2.5541 Nd
1.0378 1.2218 5.9507 Nd
-2.0393 1.7395 4.2524 Er
-1.0207 5.0221 3.4048 Er
-2.0228 0.7072 7.6551 Er
-1.0196 3.9920 6.7953 Er
3.0895 -0.5129 1.7095 Er
4.0927 2.7719 0.8496 Er
3.0906 -1.5430 5.1000 Er
```

Results
- SG: P-1 (2)
- VASP energy: -4.6010 eV/atom


Computed mass density (g cm⁻³) in order:
7.84 17.70 6.11 8.40